Record 1
Ag3BiF7: optimized geometry, PBE-GGA.

Energy relative to the elements, uncorrected: -1.5618 eV per atom

a = 5.734 Å, b = 5.734 Å, c = 6.851 Å
α = 114.99°, β = 114.99°, γ = 86.39°
Fractional coordinates of all 11 atoms:
Ag 0.000 0.000 0.000
Ag 0.259 0.777 0.507
Ag 0.777 0.259 0.507
Bi 0.526 0.526 0.977
F 0.159 0.647 0.737
F 0.224 0.224 0.878
F 0.367 0.805 0.232
F 0.613 0.613 0.685
F 0.647 0.159 0.737
F 0.805 0.367 0.232
F 0.889 0.889 0.272

=====

Record 2
LaPaPd2: optimized geometry, PBE-GGA.

Offset from the most stable computed form: 0 meV/atom

a = 3.601 Å, b = 3.601 Å, c = 7.293 Å
α = 90.00°, β = 90.00°, γ = 90.00°
Fractional coordinates of all 4 atoms:
La 0.000 0.000 0.000
Pa 0.000 0.000 0.500
Pd 0.500 0.500 0.293
Pd 0.500 0.500 0.707

=====

Record 3
Sc2MoCl: optimized geometry, PBE-GGA.

Offset from the most stable computed form: 493 meV/atom
Energy relative to the elements, uncorrected: -0.0541 eV per atom

a = 10.223 Å, b = 10.223 Å, c = 10.223 Å
α = 17.95°, β = 17.95°, γ = 17.95°
Fractional coordinates of all 4 atoms:
Sc 0.000 0.000 0.000
Sc 0.240 0.240 0.240
Mo 0.503 0.503 0.503
Cl 0.725 0.725 0.725